Entry 1:
The following is a DFT calculation (GGA-PBE) of a relaxed structure of Cs2Tl5Cd12.

Output
V	29.35	Å³ per atom
space-group type	R-3m (166)
electronic total energy	-1.282	eV per atom
size of the total moment	0.00	μB/cell

Unit cell a=8.2624 b=8.2624 c=8.2624 alpha=84.83 beta=84.83 gamma=84.83
Positions (direct):
Cs  0.6599  0.6599  0.6599
Cs  0.3401  0.3401  0.3401
Tl  0.0000  0.0000  0.5000
Tl  0.0000  0.5000  0.0000
Tl  0.5000  0.0000  0.0000
Tl  0.8990  0.8990  0.8990
Tl  0.1010  0.1010  0.1010
Cd  0.3047  0.6953  0.0000
Cd  0.6953  0.0000  0.3047
Cd  0.0000  0.3047  0.6953
Cd  0.6953  0.3047  0.0000
Cd  0.3047  0.0000  0.6953
Cd  0.0000  0.6953  0.3047
Cd  0.3505  0.3505  0.8323
Cd  0.3505  0.8323  0.3505
Cd  0.8323  0.3505  0.3505
Cd  0.6495  0.1677  0.6495
Cd  0.6495  0.6495  0.1677
Cd  0.1677  0.6495  0.6495

Entry 2:
The following is a DFT calculation (GGA-PBE) of a relaxed structure of CsTlCd2.

Output
relative energy among the computed polymorphs	0.000	eV/atom
V	38.28	Å³ per atom
space-group type	Pnma (62)
electronic total energy	-1.337	eV per atom
size of the total moment	0.00	μB/cell

Unit cell a=5.0018 b=8.5181 c=14.3753 alpha=90.00 beta=90.00 gamma=90.00
Positions (direct):
Cs  0.7500  0.7395  0.2904
Cs  0.7500  0.2395  0.2096
Cs  0.2500  0.2605  0.7096
Cs  0.2500  0.7605  0.7904
Tl  0.2500  0.0594  0.4064
Tl  0.7500  0.9406  0.5936
Tl  0.2500  0.5594  0.0936
Tl  0.7500  0.4406  0.9064
Cd  0.7500  0.7404  0.0162
Cd  0.2500  0.2596  0.9838
Cd  0.7500  0.2404  0.4838
Cd  0.2500  0.7596  0.5162
Cd  0.7500  0.0735  0.9539
Cd  0.2500  0.4265  0.4539
Cd  0.7500  0.5735  0.5461
Cd  0.2500  0.9265  0.0461

Entry 3:
The following is a DFT calculation (GGA-PBE) of a relaxed structure of Cs5Tl11Cd2.

Output
V	40.30	Å³ per atom
space-group type	Amm2 (38)
electronic total energy	-1.918	eV per atom
size of the total moment	0.00	μB/cell

Unit cell a=11.5325 b=11.5325 c=5.7179 alpha=90.00 beta=90.00 gamma=107.45
Positions (direct):
Cs  0.2267  0.6081  0.5000
Cs  0.5135  0.8954  0.0000
Cs  0.6081  0.2267  0.5000
Cs  0.6324  0.6324  0.5000
Cs  0.8954  0.5135  0.0000
Tl  0.1405  0.3407  0.0000
Tl  0.1501  0.8398  0.0000
Tl  0.2819  0.2819  0.5000
Tl  0.2881  0.9750  0.5000
Tl  0.3407  0.1405  0.0000
Tl  0.4311  0.4311  0.0000
Tl  0.7919  0.9847  0.5000
Tl  0.8391  0.8391  0.0000
Tl  0.8398  0.1501  0.0000
Tl  0.9750  0.2881  0.5000
Tl  0.9847  0.7919  0.5000
Cd  0.0621  0.0621  0.2497
Cd  0.0621  0.0621  0.7503

Entry 4:
The following is a DFT calculation (GGA-PBE) of a relaxed structure of CsTl2Cd4.

Output
V	32.47	Å³ per atom
space-group type	Immm (71)
electronic total energy	-1.277	eV per atom
size of the total moment	0.00	μB/cell

Unit cell a=5.0259 b=4.4599 c=10.6829 alpha=102.05 beta=103.61 gamma=90.00
Positions (direct):
Cs  0.5000  0.0000  0.0000
Tl  0.8101  0.8101  0.6203
Tl  0.1899  0.1899  0.3797
Cd  0.6623  0.6623  0.3245
Cd  0.3377  0.3377  0.6755
Cd  0.0767  0.5767  0.1534
Cd  0.9233  0.4233  0.8466

Entry 5:
The following is a DFT calculation (GGA-PBE) of a relaxed structure of Cs2Tl12Cd.

Output
V	36.15	Å³ per atom
space-group type	P4/nbm (125)
electronic total energy	-2.066	eV per atom
size of the total moment	0.00	μB/cell

Unit cell a=7.4685 b=7.4685 c=19.4407 alpha=90.00 beta=90.00 gamma=90.00
Positions (direct):
Cs  0.5000  0.0000  0.2501
Cs  0.0000  0.5000  0.2501
Cs  0.0000  0.5000  0.7499
Cs  0.5000  0.0000  0.7499
Tl  0.5000  0.5000  0.8211
Tl  0.0000  0.0000  0.8211
Tl  0.7503  0.7497  0.9149
Tl  0.2503  0.7503  0.9149
Tl  0.0000  0.0000  0.3475
Tl  0.2497  0.7497  0.0851
Tl  0.8361  0.3361  0.5645
Tl  0.5000  0.5000  0.3475
Tl  0.2497  0.2503  0.9149
Tl  0.7497  0.7503  0.0851
Tl  0.3361  0.1639  0.5645
Tl  0.6639  0.1639  0.4355
Tl  0.0000  0.0000  0.6525
Tl  0.1639  0.3361  0.4355
Tl  0.2503  0.2497  0.0851
Tl  0.8361  0.6639  0.4355
Tl  0.6639  0.8361  0.5645
Tl  0.0000  0.0000  0.1789
Tl  0.1639  0.6639  0.5645
Tl  0.5000  0.5000  0.6525
Tl  0.7497  0.2497  0.9149
Tl  0.5000  0.5000  0.1789
Tl  0.3361  0.8361  0.4355
Tl  0.7503  0.2503  0.0851
Cd  0.5000  0.0000  0.0000
Cd  0.0000  0.5000  0.0000

Entry 6:
The following is a DFT calculation (GGA-PBE) of a relaxed structure of Cs5Tl5Cd2.

Output
V	50.31	Å³ per atom
space-group type	P-1 (2)
electronic total energy	-1.561	eV per atom
size of the total moment	0.00	μB/cell

Unit cell a=7.3898 b=8.1093 c=11.9871 alpha=72.50 beta=65.60 gamma=69.91
Positions (direct):
Cs  0.5000  0.5000  0.5000
Cs  0.5172  0.2662  0.8994
Cs  0.2424  0.1757  0.3633
Cs  0.7576  0.8243  0.6367
Cs  0.4828  0.7338  0.1006
Tl  0.8421  0.8433  0.2872
Tl  0.1655  0.7530  0.8012
Tl  0.8345  0.2470  0.1988
Tl  0.1579  0.1567  0.7128
Tl  0.0000  0.0000  0.0000
Cd  0.9669  0.4260  0.8982
Cd  0.0331  0.5740  0.1018

Entry 7:
The following is a DFT calculation (GGA-PBE) of a relaxed structure of Cs2Tl15Cd2.

Output
V	34.16	Å³ per atom
space-group type	R-3m (166)
electronic total energy	-2.064	eV per atom
size of the total moment	0.00	μB/cell

Unit cell a=8.7349 b=8.7349 c=8.7349 alpha=82.10 beta=82.10 gamma=82.10
Positions (direct):
Cs  0.3400  0.3400  0.3400
Cs  0.6600  0.6600  0.6600
Tl  0.5000  0.0000  0.0000
Tl  0.0000  0.0000  0.5000
Tl  0.0000  0.5000  0.0000
Tl  0.0000  0.7113  0.2887
Tl  0.7113  0.2887  0.0000
Tl  0.2887  0.0000  0.7113
Tl  0.2887  0.7113  0.0000
Tl  0.7113  0.0000  0.2887
Tl  0.0000  0.2887  0.7113
Tl  0.1459  0.6540  0.6540
Tl  0.6540  0.6540  0.1459
Tl  0.6540  0.1459  0.6540
Tl  0.8541  0.3460  0.3460
Tl  0.3460  0.3460  0.8541
Tl  0.3460  0.8541  0.3460
Cd  0.0907  0.0907  0.0907
Cd  0.9093  0.9093  0.9093

Entry 8:
The following is a DFT calculation (GGA-PBE) of a relaxed structure of Cs2Tl10Cd.

Output
V	41.43	Å³ per atom
space-group type	Pbam (55)
electronic total energy	-2.017	eV per atom
size of the total moment	0.00	μB/cell

Unit cell a=7.3675 b=13.4261 c=10.8900 alpha=90.00 beta=90.00 gamma=90.00
Positions (direct):
Cs  0.5000  0.5606  0.7596
Cs  0.5000  0.4394  0.2404
Cs  0.5000  0.0606  0.7404
Cs  0.5000  0.9394  0.2596
Tl  0.0000  0.1195  0.5478
Tl  0.0000  0.8805  0.4522
Tl  0.0000  0.6195  0.9522
Tl  0.0000  0.3805  0.0478
Tl  0.0000  0.1975  0.8270
Tl  0.0000  0.8025  0.1730
Tl  0.2691  0.1859  0.0749
Tl  0.2691  0.8141  0.9251
Tl  0.7309  0.6859  0.4251
Tl  0.7309  0.3141  0.5749
Tl  0.7309  0.8141  0.9251
Tl  0.7309  0.1859  0.0749
Tl  0.2691  0.3141  0.5749
Tl  0.2691  0.6859  0.4251
Tl  0.0000  0.0682  0.2653
Tl  0.0000  0.9318  0.7347
Tl  0.0000  0.5682  0.2347
Tl  0.0000  0.4318  0.7653
Tl  0.0000  0.3025  0.3270
Tl  0.0000  0.6975  0.6730
Cd  0.0000  0.5000  0.5000
Cd  0.0000  0.0000  0.0000

Entry 9:
The following is a DFT calculation (GGA-PBE) of a relaxed structure of CsTlCd3.

Output
relative energy among the computed polymorphs	0.003	eV/atom
V	37.32	Å³ per atom
space-group type	C2/c (15)
electronic total energy	-1.212	eV per atom
size of the total moment	0.00	μB/cell

Unit cell a=5.9457 b=8.4869 c=8.4869 alpha=78.04 beta=69.33 gamma=69.33
Positions (direct):
Cs  0.7500  0.3160  0.1840
Cs  0.2500  0.6840  0.8160
Tl  0.0000  0.5000  0.5000
Tl  0.5000  0.0000  0.0000
Cd  0.7768  0.2230  0.7224
Cd  0.2768  0.2224  0.7230
Cd  0.7232  0.7776  0.2770
Cd  0.2232  0.7770  0.2776
Cd  0.7500  0.9293  0.5707
Cd  0.2500  0.0707  0.4293

Entry 10:
The following is a DFT calculation (GGA-PBE) of a relaxed structure of CsTlCd.

Output
relative energy among the computed polymorphs	0.022	eV/atom
V	39.71	Å³ per atom
space-group type	P-1 (2)
electronic total energy	-1.418	eV per atom
size of the total moment	0.00	μB/cell

Unit cell a=4.0934 b=9.2407 c=7.0115 alpha=67.65 beta=89.80 gamma=77.23
Positions (direct):
Cs  0.1209  0.6966  0.2456
Cs  0.4970  0.9622  0.6125
Tl  0.2131  0.5310  0.8281
Tl  0.4064  0.1276  0.0301
Cd  0.8095  0.3295  0.6592
Cd  0.8101  0.3288  0.1993

Entry 11:
The following is a DFT calculation (GGA-PBE) of a relaxed structure of CsTlCd3.

Output
relative energy among the computed polymorphs	0.000	eV/atom
V	34.61	Å³ per atom
space-group type	P2_1/c (14)
electronic total energy	-1.215	eV per atom
size of the total moment	0.00	μB/cell

Unit cell a=7.0772 b=9.8878 c=10.5104 alpha=109.76 beta=90.00 gamma=90.00
Positions (direct):
Cs  0.0520  0.6254  0.2082
Cs  0.9480  0.3746  0.7918
Cs  0.5520  0.3746  0.2918
Cs  0.4480  0.6254  0.7082
Tl  0.1872  0.9060  0.5591
Tl  0.8128  0.0940  0.4409
Tl  0.6872  0.0940  0.9409
Tl  0.3128  0.9060  0.0591
Cd  0.2613  0.0696  0.3567
Cd  0.7387  0.9304  0.6433
Cd  0.7613  0.9304  0.1433
Cd  0.2387  0.0696  0.8567
Cd  0.5518  0.8129  0.3697
Cd  0.4482  0.1871  0.6303
Cd  0.0518  0.1871  0.1303
Cd  0.9482  0.8129  0.8697
Cd  0.9496  0.6483  0.5772
Cd  0.0504  0.3517  0.4228
Cd  0.4496  0.3517  0.9228
Cd  0.5504  0.6483  0.0772

Entry 12:
The following is a DFT calculation (GGA-PBE) of a relaxed structure of CsTlCd2.

Output
relative energy among the computed polymorphs	0.041	eV/atom
V	40.89	Å³ per atom
space-group type	R-3m (166)
electronic total energy	-1.296	eV per atom
size of the total moment	0.00	μB/cell

Unit cell a=5.2492 b=5.2492 c=7.4951 alpha=69.50 beta=69.50 gamma=60.00
Positions (direct):
Cs  0.0000  0.0000  0.0000
Tl  0.5000  0.5000  0.5000
Cd  0.8014  0.8014  0.5959
Cd  0.1986  0.1986  0.4041